A plane-wave DFT calculation with PBE was carried out for a geometry-optimized TmTiNiRu structure.

a b c (Å): 4.526 4.526 4.526
angles (deg): 60.00 60.00 60.00
Positions (direct):
1 Ti 0.000 0.000 0.000
2 Ni 0.750 0.750 0.750
3 Ru 0.250 0.250 0.250
4 Tm 0.500 0.500 0.500

- Energy of formation from the pure elements: -0.4060 eV per atom
- Magnetization: 0.003 μB/f.u.
- Space-group type: F-43m, No. 216
- Theoretical density: 9.54 Mg/m³